## w
! GGA-PBE BaSrPd2, optimized geometry; values from VASP
&SYSTEM
  ibrav = 0, nat = 4, ntyp = 3
/
ATOMIC_SPECIES
Sr 87.62 Sr.upf
Ba 137.33 Ba.upf
Pd 106.42 Pd.upf
CELL_PARAMETERS angstrom
3.843 0.000 0.000
0.000 3.843 0.000
0.000 0.000 7.605
ATOMIC_POSITIONS angstrom
Sr 1.921 1.921 0.000
Ba 1.921 1.921 3.802
Pd 0.000 0.000 5.900
Pd 0.000 0.000 1.704
! Total magnetization   0.0 μB per cell

***

## x
! GGA-PBE BaSrPd2, optimized geometry; values from VASP
&SYSTEM
  ibrav = 0, nat = 4, ntyp = 3
/
ATOMIC_SPECIES
Sr 87.62 Sr.upf
Ba 137.33 Ba.upf
Pd 106.42 Pd.upf
CELL_PARAMETERS angstrom
-2.663 0.206 -3.626
1.471 -1.549 -3.965
-3.078 -7.069 -0.938
ATOMIC_POSITIONS angstrom
Sr 0.000 0.000 0.000
Ba -2.135 -4.206 -4.265
Pd -1.033 -2.017 -2.153
Pd -3.237 -6.395 -6.376
! Total magnetization   0.0 μB per cell

***

Each structure's energy above the most stable one, in meV/atom: w 0; x 74.

***

## w
! GGA-PBE BaSrPd2, optimized geometry; values from VASP
&SYSTEM
  ibrav = 0, nat = 4, ntyp = 3
/
ATOMIC_SPECIES
Ba 137.33 Ba.upf
Sr 87.62 Sr.upf
Pd 106.42 Pd.upf
CELL_PARAMETERS angstrom
-2.051 2.514 2.936
-3.581 0.458 -2.894
-1.468 -6.019 0.864
ATOMIC_POSITIONS angstrom
Ba -2.936 -4.126 2.980
Sr -3.346 -1.259 0.242
Pd -3.327 -4.441 -0.285
Pd -0.839 -3.332 0.510
! Total magnetization   0.0 μB per cell

***

## x
! GGA-PBE BaSrPd2, optimized geometry; values from VASP
&SYSTEM
  ibrav = 0, nat = 4, ntyp = 3
/
ATOMIC_SPECIES
Sr 87.62 Sr.upf
Ba 137.33 Ba.upf
Pd 106.42 Pd.upf
CELL_PARAMETERS angstrom
4.291 -2.056 2.599
-0.495 -1.707 5.122
0.205 -5.300 1.123
ATOMIC_POSITIONS angstrom
Sr 0.000 0.000 0.000
Ba 2.000 -4.531 4.422
Pd 1.000 -2.266 2.211
Pd 3.001 -6.797 6.632
! Total magnetization   0.0 μB per cell

***

## y
! GGA-PBE BaSrPd2, optimized geometry; values from VASP
&SYSTEM
  ibrav = 0, nat = 8, ntyp = 3
/
ATOMIC_SPECIES
Sr 87.62 Sr.upf
Ba 137.33 Ba.upf
Pd 106.42 Pd.upf
CELL_PARAMETERS angstrom
-1.334 3.885 7.103
-0.045 -7.202 3.931
2.850 -1.396 6.038
ATOMIC_POSITIONS angstrom
Sr -0.690 -1.659 5.517
Sr 1.058 -5.129 7.743
Ba 0.000 0.000 0.000
Ba 0.413 0.415 9.329
Pd -0.117 1.150 6.387
Pd 0.508 -4.336 4.907
Pd 1.620 -2.345 8.696
Pd 0.931 -3.896 14.154
! Total magnetization   0.0 μB per cell

***

Each structure's energy above the most stable one, in meV/atom: w 0; x 84; y 305.

***

## w
! GGA-PBE Ba3SrPd, optimized geometry; values from VASP
&SYSTEM
  ibrav = 0, nat = 10, ntyp = 3
/
ATOMIC_SPECIES
Ba 137.33 Ba.upf
Sr 87.62 Sr.upf
Pd 106.42 Pd.upf
CELL_PARAMETERS angstrom
-6.304 2.186 -3.287
-3.890 -5.648 3.703
-1.630 5.623 6.867
ATOMIC_POSITIONS angstrom
Ba -4.414 0.113 1.241
Ba -7.512 1.505 8.251
Ba -8.545 1.679 1.933
Ba -7.048 5.953 1.761
Ba -9.362 4.499 5.377
Ba -6.699 -1.298 4.828
Sr -5.176 2.828 4.766
Sr -9.983 -2.477 2.040
Pd -4.869 0.520 6.729
Pd -7.228 -1.230 1.673
! Total magnetization   0.0 μB per cell

***

## x
! GGA-PBE Ba3SrPd, optimized geometry; values from VASP
&SYSTEM
  ibrav = 0, nat = 5, ntyp = 3
/
ATOMIC_SPECIES
Sr 87.62 Sr.upf
Ba 137.33 Ba.upf
Pd 106.42 Pd.upf
CELL_PARAMETERS angstrom
6.808 0.000 0.000
0.000 6.808 0.000
0.000 0.000 6.808
ATOMIC_POSITIONS angstrom
Sr 0.000 0.000 0.000
Ba 0.000 3.404 0.000
Ba 0.000 0.000 3.404
Ba 3.404 0.000 0.000
Pd 3.404 3.404 3.404
! Total magnetization   4.0 μB per cell

***

Each structure's energy above the most stable one, in meV/atom: w 0; x 1222.

***

## w
! GGA-PBE Ba2Sr4Pd, optimized geometry; values from VASP
&SYSTEM
  ibrav = 0, nat = 7, ntyp = 3
/
ATOMIC_SPECIES
Ba 137.33 Ba.upf
Sr 87.62 Sr.upf
Pd 106.42 Pd.upf
CELL_PARAMETERS angstrom
-2.553 -1.013 -3.216
-3.478 -5.462 4.480
-5.833 9.484 1.644
ATOMIC_POSITIONS angstrom
Ba -6.505 0.493 2.228
Ba -4.862 3.298 0.040
Sr -6.429 7.272 0.033
Sr -6.737 4.750 3.852
Sr -4.938 -3.482 2.235
Sr -2.077 0.053 1.632
Pd -3.230 -5.071 4.160
! Total magnetization   0.0 μB per cell

***

## x
! GGA-PBE Ba2Sr4Pd, optimized geometry; values from VASP
&SYSTEM
  ibrav = 0, nat = 7, ntyp = 3
/
ATOMIC_SPECIES
Sr 87.62 Sr.upf
Ba 137.33 Ba.upf
Pd 106.42 Pd.upf
CELL_PARAMETERS angstrom
5.983 0.000 0.000
0.000 5.983 0.000
2.992 2.992 10.868
ATOMIC_POSITIONS angstrom
Sr 5.983 5.983 2.952
Sr 2.992 2.992 7.916
Sr 0.000 2.992 0.000
Sr 2.992 0.000 0.000
Ba 5.983 5.983 7.131
Ba 2.992 2.992 3.737
Pd 0.000 0.000 0.000
! Total magnetization   0.0 μB per cell

***

Each structure's energy above the most stable one, in meV/atom: w 0; x 43.

***

## w
! GGA-PBE BaSr2Pd, optimized geometry; values from VASP
&SYSTEM
  ibrav = 0, nat = 8, ntyp = 3
/
ATOMIC_SPECIES
Sr 87.62 Sr.upf
Ba 137.33 Ba.upf
Pd 106.42 Pd.upf
CELL_PARAMETERS angstrom
10.307 0.000 0.000
0.000 10.307 0.000
5.153 5.153 3.400
ATOMIC_POSITIONS angstrom
Sr 6.583 2.577 0.850
Sr 3.723 7.730 0.850
Sr 7.730 8.877 2.550
Sr 12.883 11.737 2.550
Ba 0.000 0.000 0.000
Ba 10.307 5.153 1.700
Pd 5.153 5.153 0.000
Pd 5.153 10.307 1.700
! Total magnetization   0.0 μB per cell

***

## x
! GGA-PBE BaSr2Pd, optimized geometry; values from VASP
&SYSTEM
  ibrav = 0, nat = 4, ntyp = 3
/
ATOMIC_SPECIES
Ba 137.33 Ba.upf
Sr 87.62 Sr.upf
Pd 106.42 Pd.upf
CELL_PARAMETERS angstrom
-3.557 2.146 1.589
-3.286 1.198 -2.748
-7.136 -8.219 1.348
ATOMIC_POSITIONS angstrom
Ba -6.972 -2.405 0.088
Sr -6.386 -6.779 1.081
Sr -3.039 -0.343 -0.116
Pd -4.570 2.214 -0.770
! Total magnetization   0.0 μB per cell

***

## y
! GGA-PBE BaSr2Pd, optimized geometry; values from VASP
&SYSTEM
  ibrav = 0, nat = 4, ntyp = 3
/
ATOMIC_SPECIES
Sr 87.62 Sr.upf
Ba 137.33 Ba.upf
Pd 106.42 Pd.upf
CELL_PARAMETERS angstrom
-3.355 -0.449 -1.996
-0.402 -3.614 1.490
-5.403 3.977 8.188
ATOMIC_POSITIONS angstrom
Sr -4.501 3.313 6.820
Sr -0.903 0.664 1.368
Ba -4.580 -0.043 3.841
Pd -1.879 -2.032 -0.253
! Total magnetization   0.0 μB per cell

***

## z
! GGA-PBE BaSr2Pd, optimized geometry; values from VASP
&SYSTEM
  ibrav = 0, nat = 8, ntyp = 3
/
ATOMIC_SPECIES
Ba 137.33 Ba.upf
Sr 87.62 Sr.upf
Pd 106.42 Pd.upf
CELL_PARAMETERS angstrom
-3.572 1.967 1.684
4.174 -2.281 5.747
5.088 9.258 -0.021
ATOMIC_POSITIONS angstrom
Ba 1.485 2.212 6.352
Ba 4.205 6.732 1.057
Sr 4.574 4.380 4.590
Sr 1.117 4.564 2.819
Sr 6.396 7.695 4.583
Sr -0.705 1.250 2.826
Pd 3.213 7.285 4.087
Pd 2.478 1.660 3.322
! Total magnetization   0.0 μB per cell

***

Each structure's energy above the most stable one, in meV/atom: w 164; x 42; y 74; z 0.

***

## w
! GGA-PBE Ba4Sr2Pd, optimized geometry; values from VASP
&SYSTEM
  ibrav = 0, nat = 7, ntyp = 3
/
ATOMIC_SPECIES
Sr 87.62 Sr.upf
Ba 137.33 Ba.upf
Pd 106.42 Pd.upf
CELL_PARAMETERS angstrom
-2.480 0.217 -5.739
4.909 -3.165 -2.241
-3.894 -10.713 -2.132
ATOMIC_POSITIONS angstrom
Sr -1.118 -9.364 -6.690
Sr -0.347 -4.297 -3.422
Ba 0.913 -5.690 -7.429
Ba -2.378 -7.971 -2.683
Ba 2.455 -1.583 -1.121
Ba -1.240 0.108 -2.870
Pd 0.000 0.000 0.000
! Total magnetization   0.0 μB per cell

***

## x
! GGA-PBE Ba4Sr2Pd, optimized geometry; values from VASP
&SYSTEM
  ibrav = 0, nat = 7, ntyp = 3
/
ATOMIC_SPECIES
Ba 137.33 Ba.upf
Sr 87.62 Sr.upf
Pd 106.42 Pd.upf
CELL_PARAMETERS angstrom
-2.440 3.813 -0.815
-5.082 -4.892 -7.667
-0.387 -0.546 11.580
ATOMIC_POSITIONS angstrom
Ba -4.308 -3.295 -2.517
Ba -3.601 1.670 5.614
Ba -5.408 -2.426 4.839
Ba -2.502 0.801 -1.741
Sr -1.862 -0.700 2.299
Sr -6.047 -0.925 0.799
Pd 0.000 0.000 0.000
! Total magnetization   0.0 μB per cell

***

Each structure's energy above the most stable one, in meV/atom: w 133; x 0.

***

## w
! GGA-PBE Ba2SrPd2, optimized geometry; values from VASP
&SYSTEM
  ibrav = 0, nat = 5, ntyp = 3
/
ATOMIC_SPECIES
Sr 87.62 Sr.upf
Ba 137.33 Ba.upf
Pd 106.42 Pd.upf
CELL_PARAMETERS angstrom
-0.649 -0.769 5.652
0.839 -5.639 -0.671
5.922 -2.430 3.265
ATOMIC_POSITIONS angstrom
Sr 0.000 0.000 0.000
Ba 1.968 -2.955 2.739
Ba 4.144 -5.883 5.506
Pd 2.684 -3.202 5.704
Pd 3.428 -5.637 2.542
! Total magnetization   0.0 μB per cell

***

## x
! GGA-PBE Ba2SrPd2, optimized geometry; values from VASP
&SYSTEM
  ibrav = 0, nat = 10, ntyp = 3
/
ATOMIC_SPECIES
Sr 87.62 Sr.upf
Ba 137.33 Ba.upf
Pd 106.42 Pd.upf
CELL_PARAMETERS angstrom
9.287 0.000 0.000
0.000 9.287 0.000
0.000 0.000 3.759
ATOMIC_POSITIONS angstrom
Sr 0.000 0.000 0.000
Sr 4.644 4.644 0.000
Ba 3.384 8.028 0.000
Ba 8.028 5.903 0.000
Ba 5.903 1.259 0.000
Ba 1.259 3.384 0.000
Pd 1.562 6.206 1.880
Pd 6.206 7.725 1.880
Pd 7.725 3.082 1.880
Pd 3.082 1.562 1.880
! Total magnetization   0.0 μB per cell

***

## y
! GGA-PBE Ba2SrPd2, optimized geometry; values from VASP
&SYSTEM
  ibrav = 0, nat = 5, ntyp = 3
/
ATOMIC_SPECIES
Ba 137.33 Ba.upf
Sr 87.62 Sr.upf
Pd 106.42 Pd.upf
CELL_PARAMETERS angstrom
-1.922 3.961 0.473
-6.408 -0.939 2.550
-0.819 1.266 6.795
ATOMIC_POSITIONS angstrom
Ba -6.518 3.452 6.787
Ba -2.632 0.836 3.030
Sr 0.000 0.000 0.000
Pd -5.655 1.718 4.088
Pd -3.495 2.570 5.730
! Total magnetization   0.0 μB per cell

***

## z
! GGA-PBE Ba2SrPd2, optimized geometry; values from VASP
&SYSTEM
  ibrav = 0, nat = 10, ntyp = 3
/
ATOMIC_SPECIES
Sr 87.62 Sr.upf
Ba 137.33 Ba.upf
Pd 106.42 Pd.upf
CELL_PARAMETERS angstrom
8.501 0.000 0.000
0.000 8.501 0.000
0.000 0.000 4.694
ATOMIC_POSITIONS angstrom
Sr 0.000 0.000 0.000
Sr 4.251 4.251 0.000
Ba 1.373 5.624 2.347
Ba 5.624 7.128 2.347
Ba 7.128 2.878 2.347
Ba 2.878 1.373 2.347
Pd 3.179 7.429 0.000
Pd 7.429 5.322 0.000
Pd 5.322 1.072 0.000
Pd 1.072 3.179 0.000
! Total magnetization   0.0 μB per cell

***

Each structure's energy above the most stable one, in meV/atom: w 289; x 193; y 7; z 0.

***

## w
! GGA-PBE BaSr2TlPd, optimized geometry; values from VASP
&SYSTEM
  ibrav = 0, nat = 5, ntyp = 4
/
ATOMIC_SPECIES
Sr 87.62 Sr.upf
Tl 204.38 Tl.upf
Ba 137.33 Ba.upf
Pd 106.42 Pd.upf
CELL_PARAMETERS angstrom
5.924 0.000 0.000
0.000 5.924 0.000
0.000 0.000 6.131
ATOMIC_POSITIONS angstrom
Sr 0.000 2.962 0.000
Sr 2.962 0.000 0.000
Tl 2.962 2.962 3.066
Ba 0.000 0.000 3.066
Pd 0.000 0.000 0.000
! Total magnetization   0.0 μB per cell

***

## x
! GGA-PBE BaSr2TlPd, optimized geometry; values from VASP
&SYSTEM
  ibrav = 0, nat = 5, ntyp = 4
/
ATOMIC_SPECIES
Sr 87.62 Sr.upf
Tl 204.38 Tl.upf
Ba 137.33 Ba.upf
Pd 106.42 Pd.upf
CELL_PARAMETERS angstrom
5.919 0.000 0.000
0.000 5.919 0.000
0.000 0.000 5.531
ATOMIC_POSITIONS angstrom
Sr 0.000 2.960 0.000
Sr 2.960 0.000 0.000
Tl 0.000 0.000 2.765
Ba 2.960 2.960 2.765
Pd 0.000 0.000 0.000
! Total magnetization   0.0 μB per cell

***

Each structure's energy above the most stable one, in meV/atom: w 0; x 24.